Entry 1:
# InPdAu2

A relaxed structure of InPdAu2 (PBE, OQMD).

Cell and atoms, written as POSCAR:
```
InPdAu2
1.0
0.000 3.302 3.302
3.302 0.000 3.302
3.302 3.302 0.000
In Pd Au
1 1 2
Direct
0.000 0.000 0.000 In
0.250 0.250 0.250 Pd
0.500 0.500 0.500 Au
0.750 0.750 0.750 Au
```



Entry 2:
# HfUBe

A relaxed structure of HfUBe (PBE, OQMD).

Cell and atoms, written as POSCAR:
```
HfUBe
1.0
0.000 3.216 3.216
3.216 0.000 3.216
3.216 3.216 0.000
Hf U Be
1 1 1
Direct
0.000 0.000 0.000 Hf
0.250 0.250 0.250 U
0.500 0.500 0.500 Be
```

Results
distance to the lowest polymorph of the same formula	831	meV per atom



Short version: raw total energy = -3.860 -6.834 eV/atom, in the order given.